Nd2Sm6DyEr3 | GGA-PBE | optimized geometry

Lattice parameters (Å, degrees): 6.240 10.806 11.901 90.00 100.04 90.00
Space group C2/m (No. 12)
Inequivalent atoms, fractional coordinates:
Nd 0.000 0.167 0.000
Sm 0.248 0.500 0.746
Sm 0.249 0.166 0.746
Dy 0.000 0.500 0.000
Er 0.000 0.000 0.500
Er 0.000 0.334 0.500

Output
**Volume**: 395.1 Å³/f.u.
**N(E_F)**: 1.275 states/eV per atom
**Spin magnetization**: 0.0 μB per cell
**Electronic total energy**: -4.6619 eV per atom
**Crystal system**: monoclinic